# 1
## InCu3 (PBE)

Data for a relaxed InCu3 crystal.

Properties
volume = 14.69 Å³ per atom
calculated formation energy = 0.149 eV per atom

```
4
Lattice="4.301 2.483 0.917 -4.301 2.483 0.917 0.000 -4.966 0.917" Properties=species:S:1:pos:R:3 pbc="T T T"
In 0.000 0.000 0.000
Cu -2.150 -1.242 0.917
Cu -2.150 1.242 1.833
Cu 0.000 2.483 0.917
```

=====

# 2
## CeCdAg (PBE)

Data for a relaxed CeCdAg crystal.

Properties
volume = 24.01 Å³ per atom
calculated formation energy = 0.227 eV per atom

```
3
Lattice="-1.439 1.439 8.702 1.439 -1.439 8.702 1.439 1.439 -8.702" Properties=species:S:1:pos:R:3 pbc="T T T"
Ce 0.000 0.000 0.000
Cd 0.000 0.000 11.421
Ag 0.000 0.000 14.300
```

=====

# 3
## Cs2AlI5 (PBE)

Data for a relaxed Cs2AlI5 crystal.

Properties
volume = 59.75 Å³ per atom
E_form (uncorrected) = -9.10 eV/f.u.
distance to the lowest polymorph of the same formula = 0.000 eV/atom

```
32
Lattice="11.176 -5.632 0.000 11.176 5.632 0.000 -8.963 0.000 15.189" Properties=species:S:1:pos:R:3 pbc="T T T"
Cs 6.425 3.777 2.617
Cs 5.501 3.061 8.418
Cs 3.406 3.061 14.366
Cs 11.445 3.777 4.977
Cs 1.943 -3.777 10.212
Cs 9.982 -3.061 0.823
Cs 7.887 -3.061 6.771
Cs 6.964 -3.777 12.572
Al 1.221 0.926 10.290
Al 5.702 -0.926 2.695
Al 7.686 0.926 12.494
Al 12.168 -0.926 4.899
I 2.055 3.345 10.535
I 9.936 4.519 1.637
I 7.934 4.519 5.958
I -1.297 0.795 9.897
I 3.184 -0.795 2.303
I 6.943 0.178 0.714
I 6.852 3.345 12.249
I 2.462 -0.178 8.308
I 6.332 0.338 4.847
I 1.851 -0.338 12.442
I 11.538 0.338 2.747
I 7.056 -0.338 10.342
I 10.926 0.178 6.881
I 6.536 -3.345 2.940
I 6.445 -0.178 14.475
I 10.204 0.795 12.887
I 14.686 -0.795 5.292
I 5.454 -4.519 9.232
I 3.453 -4.519 13.552
I 11.333 -3.345 4.654
```

=====

# 4
## Sm8Ni2Ir (PBE)

Data for a relaxed Sm8Ni2Ir crystal.

Properties
volume = 28.09 Å³ per atom
calculated formation energy = -0.177 eV per atom

```
11
Lattice="4.145 -6.294 0.000 4.145 6.294 0.000 -2.122 0.000 5.921" Properties=species:S:1:pos:R:3 pbc="T T T"
Sm 0.000 0.000 0.000
Sm -0.049 1.670 3.477
Sm 2.587 2.568 1.139
Sm -0.049 -1.670 3.477
Sm 3.036 1.671 4.794
Sm 2.587 -2.568 1.139
Sm 3.036 -1.671 4.794
Sm 5.145 0.000 2.199
Ni 1.492 3.924 4.061
Ni 1.492 -3.924 4.061
Ir 0.831 0.000 5.891
```

=====

# 5
## AlAg2P (PBE)

Data for a relaxed AlAg2P crystal.

Properties
volume = 18.65 Å³ per atom
calculated formation energy = 0.113 eV per atom
distance to the lowest polymorph of the same formula = 0.025 eV/atom

```
4
Lattice="6.334 -1.430 0.000 6.334 1.430 0.000 -1.092 0.000 4.118" Properties=species:S:1:pos:R:3 pbc="T T T"
Al 0.000 0.000 0.000
Ag 4.909 0.000 1.816
Ag 8.674 0.000 2.708
P 2.353 0.000 0.485
```

=====

# 6
## SrYGe3 (PBE)

Data for a relaxed SrYGe3 crystal.

Properties
volume = 30.96 Å³ per atom
calculated formation energy = 0.738 eV per atom
distance to the lowest polymorph of the same formula = 1.358 eV/atom

```
5
Lattice="5.369 0.000 0.000 0.000 5.369 0.000 0.000 0.000 5.369" Properties=species:S:1:pos:R:3 pbc="T T T"
Sr 0.000 0.000 0.000
Y 2.685 2.685 2.685
Ge 0.000 0.000 2.685
Ge 0.000 2.685 0.000
Ge 2.685 0.000 0.000
```